Entry 1:
! La4PdC | Alexandria via LeMat-Bulk | PBE | optimized geometry; values from VASP
! E_form in meV/atom: -258
! Final energy in eV for the cell shown: -71.347
! Symmetry: No. 15
&SYSTEM
  ibrav = 0, nat = 12, ntyp = 3
/
ATOMIC_SPECIES
La 138.91 La.upf
Pd 106.42 Pd.upf
C 12.01 C.upf
ATOMIC_POSITIONS angstrom
La -0.0207 4.4604 4.7411
La -0.5340 0.6788 3.9503
La 1.2373 -0.6788 1.1654
La 3.0781 4.4604 3.6136
La 1.7505 -4.4604 1.9562
La 3.5914 0.6788 4.4045
La 5.3626 -0.6788 1.6195
La 4.8493 -4.4604 0.8287
Pd 3.2999 1.7199 1.3925
Pd 1.5287 -1.7199 4.1774
C 1.5287 6.3718 4.1774
C 3.2999 -6.3718 1.3925
CELL_PARAMETERS angstrom
4.1855 -7.3653 0.0000
4.1855 7.3653 0.0000
-3.5425 0.0000 5.5698



Entry 2:
! LaPdC | Alexandria via LeMat-Bulk | PBE | optimized geometry; values from VASP
! E_form in meV/atom: -380
! Final energy in eV for the cell shown: -81.939
! Symmetry: No. 12
&SYSTEM
  ibrav = 0, nat = 12, ntyp = 3
/
ATOMIC_SPECIES
La 138.91 La.upf
Pd 106.42 Pd.upf
C 12.01 C.upf
ATOMIC_POSITIONS angstrom
La 0.0829 0.0000 2.0644
La 1.8070 2.0847 5.1395
La 4.1288 2.0847 2.0644
La 5.8529 0.0000 5.1395
Pd -0.8740 2.0847 7.1378
Pd 2.7638 0.0000 0.0661
Pd 3.1720 0.0000 7.1378
Pd 6.8098 2.0847 0.0661
C -0.4945 2.0847 3.9023
C 2.3844 0.0000 3.3016
C 3.5514 0.0000 3.9023
C 6.4303 2.0847 3.3016
CELL_PARAMETERS angstrom
8.0918 0.0000 0.0000
0.0000 4.1694 0.0000
-2.1561 0.0000 7.2039



Entry 3:
! La3PdC | Alexandria via LeMat-Bulk | PBE | optimized geometry; values from VASP
! E_form in meV/atom: -358
! Final energy in eV for the cell shown: -61.980
! Symmetry: No. 12
&SYSTEM
  ibrav = 0, nat = 10, ntyp = 3
/
ATOMIC_SPECIES
La 138.91 La.upf
Pd 106.42 Pd.upf
C 12.01 C.upf
ATOMIC_POSITIONS angstrom
La 0.5953 0.0000 1.8622
La 3.1034 0.0000 7.7389
La 4.9518 0.0000 4.5691
La 9.1619 0.0000 4.8886
La 11.0102 0.0000 1.7188
La 13.5184 0.0000 7.5955
Pd 5.8485 0.0000 0.4829
Pd 8.2651 0.0000 8.9747
C 2.7271 0.0000 3.2843
C 11.3866 0.0000 6.1733
CELL_PARAMETERS angstrom
7.2914 -1.9219 0.0000
7.2914 1.9219 0.0000
-0.4691 0.0000 9.4576



Entry 4:
! La4Pd2C | Alexandria via LeMat-Bulk | PBE | optimized geometry; values from VASP
! E_form in meV/atom: -135
! Final energy in eV for the cell shown: -80.527
! Symmetry: No. 139
&SYSTEM
  ibrav = 0, nat = 14, ntyp = 3
/
ATOMIC_SPECIES
La 138.91 La.upf
Pd 106.42 Pd.upf
C 12.01 C.upf
ATOMIC_POSITIONS angstrom
La 0.0000 0.0000 2.9879
La 0.0000 0.0000 12.6967
La 0.0000 2.5152 0.0000
La 0.0000 2.5152 7.8423
La 2.5152 0.0000 0.0000
La 2.5152 0.0000 7.8423
La 2.5152 2.5152 4.8544
La 2.5152 2.5152 10.8302
Pd 0.0000 0.0000 5.6562
Pd 0.0000 0.0000 10.0284
Pd 2.5152 2.5152 2.1861
Pd 2.5152 2.5152 13.4985
C 0.0000 0.0000 7.8423
C 2.5152 2.5152 0.0000
CELL_PARAMETERS angstrom
5.0304 0.0000 0.0000
0.0000 5.0304 0.0000
0.0000 0.0000 15.6846



Entry 5:
! LaPdC3 | Alexandria via LeMat-Bulk | PBE | optimized geometry; values from VASP
! E_form in meV/atom: 2975
! Final energy in eV for the cell shown: -22.917
! Symmetry: No. 221
&SYSTEM
  ibrav = 0, nat = 5, ntyp = 3
/
ATOMIC_SPECIES
La 138.91 La.upf
Pd 106.42 Pd.upf
C 12.01 C.upf
ATOMIC_POSITIONS angstrom
La 0.0000 0.0000 0.0000
Pd 2.2341 2.2341 2.2341
C 0.0000 0.0000 2.2341
C 0.0000 2.2341 0.0000
C 2.2341 0.0000 0.0000
CELL_PARAMETERS angstrom
4.4682 0.0000 0.0000
0.0000 4.4682 0.0000
0.0000 0.0000 4.4682



Entry 6:
! LaPd2C | Alexandria via LeMat-Bulk | PBE | optimized geometry; values from VASP
! E_form in meV/atom: 88
! Final energy in eV for the cell shown: -96.736
! Symmetry: No. 122
&SYSTEM
  ibrav = 0, nat = 16, ntyp = 3
/
ATOMIC_SPECIES
La 138.91 La.upf
Pd 106.42 Pd.upf
C 12.01 C.upf
ATOMIC_POSITIONS angstrom
La 0.0000 0.0000 0.0000
La 0.0000 2.4785 3.3055
La 2.4785 0.0000 9.9165
La 2.4785 2.4785 6.6110
Pd 0.3775 1.2393 8.2638
Pd 1.2393 2.8560 11.5693
Pd 1.2393 4.5795 4.9583
Pd 2.1010 1.2393 1.6528
Pd 2.8560 3.7178 1.6528
Pd 3.7178 0.3775 4.9583
Pd 3.7178 2.1010 11.5693
Pd 4.5795 3.7178 8.2638
C 0.0000 0.0000 6.6110
C 0.0000 2.4785 9.9165
C 2.4785 0.0000 3.3055
C 2.4785 2.4785 0.0000
CELL_PARAMETERS angstrom
4.9570 0.0000 0.0000
0.0000 4.9570 0.0000
0.0000 0.0000 13.2221